No. 1
Re2I4Br5: optimized geometry, PBE.

Output
Space-group type = P-1
Total DFT energy (no corrections) = -3.6056 eV per atom
Fermi-level density of states = 5.2 states/eV per cell

Lattice parameters (Å, degrees): 7.6396 7.7778 8.5453 78.48 78.18 83.20
Closest atoms and distances in Å follow each position.
Atoms (fractional coordinates):
Re 0.0476 0.0641 0.0896  1 Re 2.26, 2 Br 2.36-2.37
Re 0.9524 0.9359 0.9104  1 Re 2.26, 2 Br 2.36-2.37
I 0.2923 0.2847 0.4028  1 Br 2.78
I 0.3058 0.2234 0.9018  1 Re 2.55
I 0.6942 0.7766 0.0982  1 Re 2.55
I 0.7077 0.7153 0.5972  1 Br 2.78
Br 0.1419 0.8378 0.2910  1 Re 2.36
Br 0.1822 0.7209 0.8299  1 Re 2.37
Br 0.5000 0.5000 0.5000  2 I 2.78
Br 0.8178 0.2791 0.1701  1 Re 2.37
Br 0.8581 0.1622 0.7090  1 Re 2.36


No. 2
Ca2Hg4Pb: optimized geometry, PBE.

Output
Space-group type = I4/mmm
Total DFT energy (no corrections) = -1.3144 eV per atom
Offset from the most stable computed form = 327 meV/atom
Fermi-level density of states = 12.4 states/eV per cell

Lattice parameters (Å, degrees): 5.7392 5.7392 15.9635 90.00 90.00 90.00
Closest atoms and distances in Å follow each position.
Atoms (fractional coordinates):
Ca 0.0000 0.0000 0.1126  5 Hg 3.06-3.39
Ca 0.0000 0.0000 0.8874  5 Hg 3.06-3.39
Ca 0.5000 0.5000 0.3874  5 Hg 3.06-3.39
Ca 0.5000 0.5000 0.6126  5 Hg 3.06-3.39
Hg 0.0000 0.0000 0.3043  1 Ca 3.06, 1 Pb 3.12
Hg 0.0000 0.0000 0.6957  1 Ca 3.06, 1 Pb 3.12
Hg 0.0000 0.5000 0.0000  2 Pb 2.87
Hg 0.0000 0.5000 0.5000  2 Pb 2.87
Hg 0.5000 0.0000 0.0000  2 Pb 2.87
Hg 0.5000 0.0000 0.5000  2 Pb 2.87
Hg 0.5000 0.5000 0.1957  1 Ca 3.06, 1 Pb 3.12
Hg 0.5000 0.5000 0.8043  1 Ca 3.06, 1 Pb 3.12
Pb 0.0000 0.0000 0.5000  6 Hg 2.87-3.12
Pb 0.5000 0.5000 0.0000  6 Hg 2.87-3.12


- What is the total DFT energy (no corrections) in the first record?
  -3.6056 eV per atom


Repeat the second record exactly.
Ca2Hg4Pb: optimized geometry, PBE.

Output
Space-group type = I4/mmm
Total DFT energy (no corrections) = -1.3144 eV per atom
Offset from the most stable computed form = 327 meV/atom
Fermi-level density of states = 12.4 states/eV per cell

Lattice parameters (Å, degrees): 5.7392 5.7392 15.9635 90.00 90.00 90.00
Closest atoms and distances in Å follow each position.
Atoms (fractional coordinates):
Ca 0.0000 0.0000 0.1126  5 Hg 3.06-3.39
Ca 0.0000 0.0000 0.8874  5 Hg 3.06-3.39
Ca 0.5000 0.5000 0.3874  5 Hg 3.06-3.39
Ca 0.5000 0.5000 0.6126  5 Hg 3.06-3.39
Hg 0.0000 0.0000 0.3043  1 Ca 3.06, 1 Pb 3.12
Hg 0.0000 0.0000 0.6957  1 Ca 3.06, 1 Pb 3.12
Hg 0.0000 0.5000 0.0000  2 Pb 2.87
Hg 0.0000 0.5000 0.5000  2 Pb 2.87
Hg 0.5000 0.0000 0.0000  2 Pb 2.87
Hg 0.5000 0.0000 0.5000  2 Pb 2.87
Hg 0.5000 0.5000 0.1957  1 Ca 3.06, 1 Pb 3.12
Hg 0.5000 0.5000 0.8043  1 Ca 3.06, 1 Pb 3.12
Pb 0.0000 0.0000 0.5000  6 Hg 2.87-3.12
Pb 0.5000 0.5000 0.0000  6 Hg 2.87-3.12


- Which value of total DFT energy (no corrections) does entry 2 give?
  -1.3144 eV per atom